(1)
Entry from Alexandria via LeMat-Bulk: InHg4Br after structural relaxation (PBE).

a = 6.3774 Å, b = 6.3774 Å, c = 6.3774 Å
α = 60.00°, β = 60.00°, γ = 60.00°
Closest atoms and distances in Å follow each position.
Element x y z (fractional)
In  0.0000  0.0000  0.0000  12 Hg 3.74, 4 Br 3.91
Hg  0.3755  0.3755  0.3755  6 Hg 3.18-3.20
Hg  0.3755  0.3755  0.8735  6 Hg 3.18-3.20
Hg  0.3755  0.8735  0.3755  6 Hg 3.18-3.20
Hg  0.8735  0.3755  0.3755  6 Hg 3.18-3.20
Br  0.7500  0.7500  0.7500  12 Hg 3.74, 4 In 3.91

Uncorrected formation energy (meV/atom): -99
Relative energy among the computed polymorphs (eV per atom): 0.073
Crystal system: cubic

***

(2)
Entry from Alexandria via LeMat-Bulk: LiTlCdHg2 after structural relaxation (PBE).

a = 5.0887 Å, b = 5.0887 Å, c = 5.1754 Å
α = 90.00°, β = 90.00°, γ = 90.00°
Closest atoms and distances in Å follow each position.
Element x y z (fractional)
Li  0.0000  0.0000  0.0000  4 Hg 2.54, 2 Cd 2.59
Tl  0.5000  0.5000  0.5000  4 Cd 3.60, 8 Hg 3.63
Cd  0.0000  0.0000  0.5000  2 Li 2.59
Hg  0.0000  0.5000  0.0000  2 Li 2.54
Hg  0.5000  0.0000  0.0000  2 Li 2.54

ΔH_f (0 K) (eV per formula unit): 0.19
Relative energy among the computed polymorphs (eV per atom): 0.098
Crystal system: tetragonal

***

(3)
Entry from Alexandria via LeMat-Bulk: Hf2ZnIn after structural relaxation (PBE).

a = 9.8309 Å, b = 9.8309 Å, c = 9.8309 Å
α = 18.54°, β = 18.54°, γ = 18.54°
Closest atoms and distances in Å follow each position.
Element x y z (fractional)
Hf  0.0000  0.0000  0.0000  3 Zn 2.91, 3 In 3.15, 6 Hf 3.17
Hf  0.1560  0.1560  0.1560  3 Zn 2.90, 3 In 3.15, 6 Hf 3.17
Zn  0.7449  0.7449  0.7449  6 Hf 2.90-2.91, 6 Zn 3.17
In  0.5780  0.5780  0.5780  6 Hf 3.15, 6 In 3.17

ΔH_f (0 K) (eV per formula unit): 0.08
Crystal system: trigonal